Record 1
Entry from the Alexandria database: crystalline TmPuPb at its relaxed geometry (GGA-PBE).

## Properties
Calculated volume, Å³/cell: 340.6
Energy of formation, eV per atom: -0.176
Energy above the most stable polymorph in this dataset, eV per atom: 0.106

Cell and atoms, written as CIF:
```
data_TmPuPb
_cell_length_a 5.1604
_cell_length_b 6.3250
_cell_length_c 10.4362
_cell_angle_alpha 90.00
_cell_angle_beta 90.00
_cell_angle_gamma 90.00
_symmetry_space_group_name_H-M 'I m m m'
_symmetry_Int_Tables_number 71
_symmetry_space_group_name_Hall '-I 2 2'
loop_
_atom_site_label
_atom_site_type_symbol
_atom_site_fract_x
_atom_site_fract_y
_atom_site_fract_z
Tm1 Tm 0.0000 0.0000 0.1747
Pu1 Pu 0.0000 0.2363 0.5000
Pb1 Pb 0.0000 0.5000 0.1670
```

Record 2
Entry from the Alexandria database: crystalline TmPuPb at its relaxed geometry (GGA-PBE).

## Properties
Calculated volume, Å³/cell: 185.8
Energy of formation, eV per atom: 0.315
Energy above the most stable polymorph in this dataset, eV per atom: 0.596

Cell and atoms, written as CIF:
```
data_TmPuPb
_cell_length_a 3.2343
_cell_length_b 3.2343
_cell_length_c 17.7586
_cell_angle_alpha 90.00
_cell_angle_beta 90.00
_cell_angle_gamma 90.00
_symmetry_space_group_name_H-M 'I 4 m m'
_symmetry_Int_Tables_number 107
_symmetry_space_group_name_Hall 'I 4 -2'
loop_
_atom_site_label
_atom_site_type_symbol
_atom_site_fract_x
_atom_site_fract_y
_atom_site_fract_z
Tm1 Tm 0.0000 0.0000 0.0000
Pu1 Pu 0.0000 0.0000 0.1798
Pb1 Pb 0.0000 0.0000 0.3615
```

Record 3
Entry from the Alexandria database: crystalline Tm2PuPb2 at its relaxed geometry (GGA-PBE).

## Properties
Calculated volume, Å³/cell: 586.0
Energy of formation, eV per atom: -0.085

Cell and atoms, written as CIF:
```
data_Tm2PuPb2
_cell_length_a 12.2165
_cell_length_b 5.8534
_cell_length_c 9.4516
_cell_angle_alpha 90.00
_cell_angle_beta 119.88
_cell_angle_gamma 90.00
_symmetry_space_group_name_H-M 'C 1 2/m 1'
_symmetry_Int_Tables_number 12
_symmetry_space_group_name_Hall '-C 2y'
loop_
_atom_site_label
_atom_site_type_symbol
_atom_site_fract_x
_atom_site_fract_y
_atom_site_fract_z
Tm1 Tm 0.0756 0.0000 0.3753
Tm2 Tm 0.1513 0.0000 0.0608
Pu1 Pu 0.0140 0.5000 0.8437
Pb1 Pb 0.1426 0.5000 0.5652
Pb2 Pb 0.2193 0.0000 0.7821
```

Record 4
Entry from the Alexandria database: crystalline Tm3PuPb4 at its relaxed geometry (GGA-PBE).

## Properties
Calculated volume, Å³/cell: 442.6
Energy of formation, eV per atom: -0.311

Cell and atoms, written as CIF:
```
data_Tm3PuPb4
_cell_length_a 18.2797
_cell_length_b 5.0170
_cell_length_c 5.0170
_cell_angle_alpha 90.00
_cell_angle_beta 105.84
_cell_angle_gamma 90.00
_symmetry_space_group_name_H-M 'C 1 2/m 1'
_symmetry_Int_Tables_number 12
_symmetry_space_group_name_Hall '-C 2y'
loop_
_atom_site_label
_atom_site_type_symbol
_atom_site_fract_x
_atom_site_fract_y
_atom_site_fract_z
Tm1 Tm 0.0000 0.0000 0.0000
Tm2 Tm 0.2496 0.0000 0.2496
Pu1 Pu 0.0000 0.5000 0.5000
Pb1 Pb 0.1266 0.0000 0.6266
Pb2 Pb 0.1266 0.5000 0.1265
```

Record 5
Entry from the Alexandria database: crystalline Tm3PuPb12 at its relaxed geometry (GGA-PBE).

## Properties
Calculated volume, Å³/cell: 459.2
Energy of formation, eV per atom: -0.209

Cell and atoms, written as CIF:
```
data_Tm3PuPb12
_cell_length_a 4.8647
_cell_length_b 4.8647
_cell_length_c 19.4019
_cell_angle_alpha 90.00
_cell_angle_beta 90.00
_cell_angle_gamma 90.00
_symmetry_space_group_name_H-M 'P 4/m m m'
_symmetry_Int_Tables_number 123
_symmetry_space_group_name_Hall '-P 4 2'
loop_
_atom_site_label
_atom_site_type_symbol
_atom_site_fract_x
_atom_site_fract_y
_atom_site_fract_z
Tm1 Tm 0.0000 0.0000 0.0000
Tm2 Tm 0.0000 0.0000 0.2513
Pu1 Pu 0.0000 0.0000 0.5000
Pb1 Pb 0.0000 0.5000 0.1251
Pb2 Pb 0.0000 0.5000 0.3741
Pb3 Pb 0.5000 0.5000 0.0000
Pb4 Pb 0.5000 0.5000 0.2495
Pb5 Pb 0.5000 0.5000 0.5000
```

Record 6
Entry from the Alexandria database: crystalline Tm4PuPb5 at its relaxed geometry (GGA-PBE).

## Properties
Calculated volume, Å³/cell: 612.1
Energy of formation, eV per atom: -0.176

Cell and atoms, written as CIF:
```
data_Tm4PuPb5
_cell_length_a 9.8890
_cell_length_b 9.8890
_cell_length_c 6.2593
_cell_angle_alpha 90.00
_cell_angle_beta 90.00
_cell_angle_gamma 90.00
_symmetry_space_group_name_H-M 'I 4'
_symmetry_Int_Tables_number 79
_symmetry_space_group_name_Hall 'I 4'
loop_
_atom_site_label
_atom_site_type_symbol
_atom_site_fract_x
_atom_site_fract_y
_atom_site_fract_z
Tm1 Tm 0.1014 0.7009 0.0000
Pu1 Pu 0.0000 0.0000 0.5046
Pb1 Pb 0.0000 0.0000 0.0050
Pb2 Pb 0.0984 0.6987 0.4999
```

Record 7
Entry from the Alexandria database: crystalline TmPuPb2 at its relaxed geometry (GGA-PBE).

## Properties
Calculated volume, Å³/cell: 110.7
Energy of formation, eV per atom: -0.277

Cell and atoms, written as CIF:
```
data_TmPuPb2
_cell_length_a 3.4924
_cell_length_b 3.4924
_cell_length_c 9.0783
_cell_angle_alpha 90.00
_cell_angle_beta 90.00
_cell_angle_gamma 90.00
_symmetry_space_group_name_H-M 'P 4/m m m'
_symmetry_Int_Tables_number 123
_symmetry_space_group_name_Hall '-P 4 2'
loop_
_atom_site_label
_atom_site_type_symbol
_atom_site_fract_x
_atom_site_fract_y
_atom_site_fract_z
Tm1 Tm 0.0000 0.0000 0.0000
Pu1 Pu 0.0000 0.0000 0.5000
Pb1 Pb 0.5000 0.5000 0.2432
```

Record 8
Entry from the Alexandria database: crystalline Tm2PuPb at its relaxed geometry (GGA-PBE).

## Properties
Calculated volume, Å³/cell: 344.5
Energy of formation, eV per atom: -0.078
Energy above the most stable polymorph in this dataset, eV per atom: 0.086

Cell and atoms, written as CIF:
```
data_Tm2PuPb
_cell_length_a 3.4969
_cell_length_b 3.4969
_cell_length_c 32.5303
_cell_angle_alpha 90.00
_cell_angle_beta 90.00
_cell_angle_gamma 120.00
_symmetry_space_group_name_H-M 'R 3 m'
_symmetry_Int_Tables_number 160
_symmetry_space_group_name_Hall 'R 3 -2"'
loop_
_atom_site_label
_atom_site_type_symbol
_atom_site_fract_x
_atom_site_fract_y
_atom_site_fract_z
Tm1 Tm 0.0000 0.0000 0.0000
Tm2 Tm 0.0000 0.0000 0.1697
Pu1 Pu 0.0000 0.0000 0.7518
Pb1 Pb 0.0000 0.0000 0.5848
```